<w>
First-principles (PBE) data for ZrMo2Au after structural relaxation, as listed in Alexandria via LeMat-Bulk.

```
ZrMo2Au
1.0
-0.532 -0.439 -4.417
-3.613 -1.544 0.589
-1.584 3.640 -0.171
Mo Zr Au
2 1 1
Cartesian
-2.598 1.048 0.209
0.000 0.000 0.000
-2.073 -0.991 -1.914
-1.058 1.601 -2.294
```

Space-group type ... P4/mmm
DOS(E_F) ... 3.3 states/eV/f.u.
Volume ... 70.6 Å³/cell

<x>
First-principles (PBE) data for ZrMo2Au after structural relaxation, as listed in Alexandria via LeMat-Bulk.

```
ZrMo2Au
1.0
-2.018 1.597 -1.074
0.060 -2.113 -1.819
-6.297 -4.544 5.075
Zr Au Mo
1 1 2
Cartesian
-2.553 -1.394 -0.177
-5.702 -3.666 2.360
-3.203 -2.312 2.582
-6.242 -4.505 5.031
```

Space-group type ... Cmmm
DOS(E_F) ... 3.6 states/eV/f.u.
Volume ... 70.7 Å³/cell

<y>
First-principles (PBE) data for ZrMo2Au after structural relaxation, as listed in Alexandria via LeMat-Bulk.

```
ZrMo2Au
1.0
10.196 -0.006 -0.004
9.797 2.826 -0.004
9.797 1.382 2.465
Mo Zr Au
2 1 1
Cartesian
7.567 1.067 0.624
29.781 4.200 2.457
14.878 2.098 1.227
22.249 3.138 1.836
```

Space-group type ... R3m
DOS(E_F) ... 3.1 states/eV/f.u.
Volume ... 71.3 Å³/cell

<z>
First-principles (PBE) data for ZrMo2Au after structural relaxation, as listed in Alexandria via LeMat-Bulk.

```
ZrMo2Au
1.0
3.283 0.000 0.000
0.000 3.283 0.000
0.000 0.000 6.647
Zr Mo Au
1 2 1
Cartesian
0.000 0.000 3.240
0.000 0.000 0.168
1.642 1.642 1.520
1.642 1.642 5.041
```

Space-group type ... P4mm
DOS(E_F) ... 4.1 states/eV/f.u.
Volume ... 71.6 Å³/cell

Most stable structure: <z>

<w>
First-principles (PBE) data for ZrMo2Au after structural relaxation, as listed in Alexandria via LeMat-Bulk.

```
ZrMo2Au
1.0
5.185 -0.049 -0.040
1.936 4.810 0.040
-3.177 -2.955 2.840
Mo Au Zr
2 1 1
Cartesian
1.061 2.052 1.440
0.170 0.114 0.000
2.816 -0.290 1.400
3.457 2.312 0.000
```

Space-group type ... Imm2
DOS(E_F) ... 4.6 states/eV/f.u.
Volume ... 71.3 Å³/cell

<x>
First-principles (PBE) data for ZrMo2Au after structural relaxation, as listed in Alexandria via LeMat-Bulk.

```
ZrMo2Au
1.0
5.371 0.004 0.013
-2.472 4.994 -0.010
0.426 0.747 2.624
Au Mo Zr
1 2 1
Cartesian
1.449 2.499 0.002
2.898 0.375 1.319
0.000 0.000 0.000
-1.023 2.870 1.307
```

Space-group type ... C2/m
DOS(E_F) ... 3.7 states/eV/f.u.
Volume ... 70.4 Å³/cell

<y>
First-principles (PBE) data for ZrMo2Au after structural relaxation, as listed in Alexandria via LeMat-Bulk.

```
ZrMo2Au
1.0
2.775 0.000 0.000
0.000 2.775 0.000
0.000 0.000 9.170
Au Zr Mo
1 1 2
Cartesian
1.387 1.387 6.981
0.000 0.000 4.585
0.000 0.000 9.152
1.387 1.387 2.207
```

Space-group type ... P4mm
DOS(E_F) ... 3.1 states/eV/f.u.
Volume ... 70.6 Å³/cell

<z>
First-principles (PBE) data for ZrMo2Au after structural relaxation, as listed in Alexandria via LeMat-Bulk.

```
ZrMo2Au
1.0
-2.110 -4.298 2.046
1.691 -4.398 -2.215
2.336 4.209 1.985
Mo Zr Au
2 1 1
Cartesian
0.000 0.000 0.000
-0.209 -4.348 -0.084
1.909 -2.269 -0.157
0.008 -2.219 1.973
```

Space-group type ... I4/mmm
DOS(E_F) ... 5.0 states/eV/f.u.
Volume ... 71.0 Å³/cell

Most stable structure: <w>

<w>
First-principles (PBE) data for ZrMo2Au after structural relaxation, as listed in Alexandria via LeMat-Bulk.

```
ZrMo2Au
1.0
-1.975 0.468 2.011
0.883 -2.710 0.190
6.578 2.553 5.867
Zr Mo Au
1 2 1
Cartesian
3.243 1.259 2.892
1.000 -0.521 2.479
0.085 0.033 0.076
4.447 0.817 5.553
```

Space-group type ... Cmm2
DOS(E_F) ... 3.1 states/eV/f.u.
Volume ... 70.9 Å³/cell

<x>
First-principles (PBE) data for ZrMo2Au after structural relaxation, as listed in Alexandria via LeMat-Bulk.

```
ZrMo2Au
1.0
4.899 -0.004 0.000
1.172 4.757 0.000
-3.036 -2.376 3.023
Mo Zr Au
2 1 1
Cartesian
0.586 2.379 1.512
0.000 0.000 0.000
3.036 2.376 0.000
2.450 -0.002 1.512
```

Space-group type ... I-4m2
DOS(E_F) ... 4.2 states/eV/f.u.
Volume ... 70.5 Å³/cell

Most stable structure: <w>

<w>
First-principles (PBE) data for ZrMo2Au after structural relaxation, as listed in Alexandria via LeMat-Bulk.

```
ZrMo2Au
1.0
2.684 0.000 0.000
0.000 4.513 0.000
0.000 0.000 5.864
Mo Au Zr
2 1 1
Cartesian
0.000 0.000 2.998
0.000 0.000 5.798
1.342 2.256 4.398
1.342 2.256 1.466
```

Space-group type ... Pmmm
DOS(E_F) ... 4.7 states/eV/f.u.
Volume ... 71.0 Å³/cell

<x>
First-principles (PBE) data for ZrMo2Au after structural relaxation, as listed in Alexandria via LeMat-Bulk.

```
ZrMo2Au
1.0
0.671 0.935 4.493
-3.250 2.272 2.406
-2.478 -2.227 3.227
Zr Mo Au
1 2 1
Cartesian
0.000 0.000 0.000
-3.792 0.735 7.595
-1.264 0.245 2.532
-2.528 0.490 5.063
```

Space-group type ... Fm-3m
DOS(E_F) ... 7.8 states/eV/f.u.
Volume ... 70.6 Å³/cell

<y>
First-principles (PBE) data for ZrMo2Au after structural relaxation, as listed in Alexandria via LeMat-Bulk.

```
ZrMo2Au
1.0
2.784 0.000 0.000
0.000 2.784 0.000
0.000 0.000 9.154
Au Mo Zr
1 2 1
Cartesian
1.392 1.392 6.866
0.000 0.000 4.695
0.000 0.000 9.036
1.392 1.392 2.289
```

Space-group type ... P4/mmm
DOS(E_F) ... 3.0 states/eV/f.u.
Volume ... 71.0 Å³/cell

Most stable structure: <y>

<w>
First-principles (PBE) data for ZrMo2Au after structural relaxation, as listed in Alexandria via LeMat-Bulk.

```
ZrMo2Au
1.0
-2.350 -3.924 1.850
0.259 -1.318 -2.467
4.580 -2.245 1.056
Mo Au Zr
2 1 1
Cartesian
2.344 -1.812 -0.866
0.334 -1.287 -2.306
2.454 -4.634 -0.133
0.035 -2.853 0.572
```

Space-group type ... P2/m
DOS(E_F) ... 3.9 states/eV/f.u.
Volume ... 71.8 Å³/cell

<x>
First-principles (PBE) data for ZrMo2Au after structural relaxation, as listed in Alexandria via LeMat-Bulk.

```
ZrMo2Au
1.0
3.889 0.000 0.000
0.000 3.889 0.000
1.944 1.944 10.132
Mo Zr Au
4 2 2
Cartesian
4.861 4.793 7.599
1.041 2.917 2.533
2.848 0.972 2.533
2.917 2.985 7.599
1.944 3.889 5.066
1.944 1.944 0.000
0.000 0.000 0.000
3.889 1.944 5.066
```

Space-group type ... I-42d
DOS(E_F) ... 2.3 states/eV/f.u.
Volume ... 153.2 Å³/cell

Most stable structure: <w>

<w>
First-principles (PBE) data for ZrMo3Au after structural relaxation, as listed in Alexandria via LeMat-Bulk.

```
ZrMo3Au
1.0
-1.200 -4.590 -0.473
4.280 -1.290 1.659
-1.725 -0.007 4.445
Mo Au Zr
3 1 1
Cartesian
2.140 -0.645 0.830
-0.863 -0.004 2.223
-0.600 -2.295 -0.237
0.677 -2.944 2.816
0.000 0.000 0.000
```

Space-group type ... Pm-3m
DOS(E_F) ... 5.9 states/eV/f.u.
Volume ... 108.4 Å³/cell

<x>
First-principles (PBE) data for ZrMo3Au after structural relaxation, as listed in Alexandria via LeMat-Bulk.

```
ZrMo3Au
1.0
4.841 0.000 0.000
0.000 4.841 0.000
0.000 0.000 4.841
Zr Mo Au
1 3 1
Cartesian
2.420 2.420 2.420
0.000 2.420 0.000
0.000 0.000 2.420
2.420 0.000 0.000
0.000 0.000 0.000
```

Space-group type ... Pm-3m
DOS(E_F) ... 12.0 states/eV/f.u.
Volume ... 113.4 Å³/cell

Most stable structure: <x>

<w>
First-principles (PBE) data for NaAuSe2N after structural relaxation, as listed in Alexandria via LeMat-Bulk.

```
NaAuSe2N
1.0
-4.527 -0.494 -3.115
-0.196 -5.394 1.140
-2.141 0.712 2.998
Au Se Na N
1 2 1 1
Cartesian
0.000 0.000 0.000
-0.098 -2.697 0.570
-2.263 -0.247 -1.557
-3.432 -2.588 0.512
-1.070 0.356 1.499
```

Space-group type ... P4/mmm
DOS(E_F) ... 5.0 states/eV/f.u.
Volume ... 114.2 Å³/cell

<x>
First-principles (PBE) data for NaAuSe2N after structural relaxation, as listed in Alexandria via LeMat-Bulk.

```
NaAuSe2N
1.0
-4.773 2.017 -0.293
-1.908 -4.683 -1.167
-0.589 -0.792 4.139
Se Na N Au
2 1 1 1
Cartesian
-0.954 -2.342 -0.583
-2.386 1.009 -0.146
0.000 0.000 0.000
-0.294 -0.396 2.070
-3.635 -1.729 1.340
```

Space-group type ... P4/mmm
DOS(E_F) ... 4.4 states/eV/f.u.
Volume ... 114.6 Å³/cell

Most stable structure: <w>

<w>
First-principles (PBE) data for NaTeAuN2 after structural relaxation, as listed in Alexandria via LeMat-Bulk.

```
NaTeAuN2
1.0
-0.544 -2.186 -3.627
0.195 -3.665 2.180
-5.897 0.156 0.790
N Te Au Na
2 1 1 1
Cartesian
-0.272 -1.093 -1.813
0.097 -1.833 1.090
-2.948 0.078 0.395
0.000 0.000 0.000
-3.123 -2.847 -0.328
```

Space-group type ... P4/mmm
DOS(E_F) ... 2.6 states/eV/f.u.
Volume ... 108.5 Å³/cell

<x>
First-principles (PBE) data for NaTeAuN2 after structural relaxation, as listed in Alexandria via LeMat-Bulk.

```
NaTeAuN2
1.0
-0.694 -3.805 1.926
0.272 -1.987 -3.827
6.297 -0.730 0.826
Te Au N Na
1 1 2 1
Cartesian
3.149 -0.365 0.413
2.938 -3.261 -0.537
0.136 -0.994 -1.914
-0.347 -1.903 0.963
0.000 0.000 0.000
```

Space-group type ... P4/mmm
DOS(E_F) ... 2.4 states/eV/f.u.
Volume ... 119.4 Å³/cell

Most stable structure: <w>

<w>
First-principles (PBE) data for NbAu3N after structural relaxation, as listed in Alexandria via LeMat-Bulk.

```
NbAu3N
1.0
-0.010 -3.825 2.197
-0.347 -2.189 -3.813
4.397 -0.181 -0.296
Au N Nb
3 1 1
Cartesian
2.198 -0.091 -0.148
-0.005 -1.912 1.098
-0.173 -1.095 -1.907
0.000 0.000 0.000
2.020 -3.098 -0.956
```

Space-group type ... Pm-3m
DOS(E_F) ... 3.6 states/eV/f.u.
Volume ... 85.8 Å³/cell

<x>
First-principles (PBE) data for NbAu3N after structural relaxation, as listed in Alexandria via LeMat-Bulk.

```
NbAu3N
1.0
5.208 0.000 0.000
0.000 5.208 0.000
0.000 0.000 5.208
Au N Nb
3 1 1
Cartesian
2.604 0.000 0.000
0.000 2.604 0.000
0.000 0.000 2.604
2.604 2.604 2.604
0.000 0.000 0.000
```

Space-group type ... Pm-3m
DOS(E_F) ... 3.7 states/eV/f.u.
Volume ... 141.3 Å³/cell

Most stable structure: <w>

<w>
First-principles (PBE) data for NbAuN2 after structural relaxation, as listed in Alexandria via LeMat-Bulk.

```
NbAuN2
1.0
1.833 0.000 6.302
-0.917 1.588 6.302
-0.917 -1.588 6.302
Nb N Au
1 2 1
Cartesian
0.000 0.000 9.453
0.000 0.000 16.836
0.000 0.000 2.071
0.000 0.000 0.000
```

Space-group type ... R-3m
DOS(E_F) ... 0.0 states/eV/f.u.
Volume ... 55.0 Å³/cell

<x>
First-principles (PBE) data for NbAuN2 after structural relaxation, as listed in Alexandria via LeMat-Bulk.

```
NbAuN2
1.0
5.030 0.000 0.000
0.000 5.030 0.000
2.515 2.515 4.803
Au Nb N
2 2 4
Cartesian
5.030 2.515 2.401
0.000 0.000 0.000
2.515 2.515 0.000
2.515 5.030 2.401
3.452 1.257 1.201
6.287 5.967 3.602
3.772 4.093 3.602
1.578 3.772 1.201
```

Space-group type ... I-42d
DOS(E_F) ... 0.0 states/eV/f.u.
Volume ... 121.5 Å³/cell

Most stable structure: <w>

<w>
First-principles (PBE) data for NbAuSeN2 after structural relaxation, as listed in Alexandria via LeMat-Bulk.

```
NbAuSeN2
1.0
3.963 0.000 0.000
0.000 3.963 0.000
0.000 0.000 5.745
Se N Au Nb
1 2 1 1
Cartesian
0.000 0.000 2.872
1.981 0.000 0.000
0.000 1.981 0.000
1.981 1.981 2.872
0.000 0.000 0.000
```

Space-group type ... P4/mmm
DOS(E_F) ... 2.1 states/eV/f.u.
Volume ... 90.2 Å³/cell

<x>
First-principles (PBE) data for NbAuSeN2 after structural relaxation, as listed in Alexandria via LeMat-Bulk.

```
NbAuSeN2
1.0
4.008 0.000 0.000
0.000 4.008 0.000
0.000 0.000 5.086
Se N Au Nb
1 2 1 1
Cartesian
0.000 0.000 2.543
2.004 0.000 0.000
0.000 2.004 0.000
0.000 0.000 0.000
2.004 2.004 2.543
```

Space-group type ... P4/mmm
DOS(E_F) ... 6.1 states/eV/f.u.
Volume ... 81.7 Å³/cell

Most stable structure: <w>

<w>
First-principles (PBE) data for Nd3AuN after structural relaxation, as listed in Alexandria via LeMat-Bulk.

```
Nd3AuN
1.0
5.070 0.000 0.000
0.000 6.917 0.000
0.000 0.000 6.917
Nd N Au
6 2 2
Cartesian
2.535 0.421 4.647
0.000 5.187 5.956
2.535 3.882 3.802
0.000 1.731 2.498
2.535 6.496 1.188
2.535 3.035 0.343
2.535 1.731 2.497
2.535 5.186 5.955
0.000 1.725 5.957
0.000 5.192 2.499
```

Space-group type ... Pmc2_1
DOS(E_F) ... 3.6 states/eV/f.u.
Volume ... 242.6 Å³/cell

<x>
First-principles (PBE) data for Nd3AuN after structural relaxation, as listed in Alexandria via LeMat-Bulk.

```
Nd3AuN
1.0
4.969 0.000 0.000
0.000 4.969 0.000
0.000 0.000 4.969
Au N Nd
1 1 3
Cartesian
2.485 2.485 2.485
0.000 0.000 0.000
0.000 0.000 2.485
2.485 0.000 0.000
0.000 2.485 0.000
```

Space-group type ... Pm-3m
DOS(E_F) ... 4.7 states/eV/f.u.
Volume ... 122.7 Å³/cell

Most stable structure: <w>